(1)
Below is a relaxed structure of TiNb4Rh5, with properties calculated at the PBE-GGA level.

## Properties
- M_tot (Bohr magnetons per cell) = 0.00
- total energy (eV/cell) = -89.9
- V (Å³ per cell) = 158.1
- formation enthalpy at 0 K (eV/atom) = -0.4947

a = 2.905 Å, b = 2.905 Å, c = 18.737 Å
α = 90.00°, β = 90.00°, γ = 90.00°
Space group P4/mmm (No. 123)
Asymmetric unit:
Ti (0.000, 0.000, 0.000) [1 per cell]
Nb (0.000, 0.000, 0.194) [2 per cell]
Nb (0.000, 0.000, 0.398) [2 per cell]
Rh (0.500, 0.500, 0.087) [2 per cell]
Rh (0.500, 0.500, 0.296) [2 per cell]
Rh (0.500, 0.500, 0.500) [1 per cell]

***

(2)
Below is a relaxed structure of LaAs3Rh, with properties calculated at the PBE-GGA level.

## Properties
- M_tot (Bohr magnetons per cell) = 0.00
- energy above the most stable polymorph in this dataset (meV per atom) = 1600.6
- total energy (eV/cell) = -19.9
- V (Å³ per cell) = 167.4
- formation enthalpy at 0 K (eV/atom) = 1.2670

a = 5.511 Å, b = 5.511 Å, c = 5.511 Å
α = 90.00°, β = 90.00°, γ = 90.00°
Space group Pm-3m (No. 221)
Asymmetric unit:
La (0.000, 0.000, 0.000) [1 per cell]
As (0.000, 0.000, 0.500) [3 per cell]
Rh (0.500, 0.500, 0.500) [1 per cell]

***

(3)
Below is a relaxed structure of HfCd3Mo, with properties calculated at the PBE-GGA level.

## Properties
- M_tot (Bohr magnetons per cell) = 0.00
- total energy (eV/cell) = -16.7
- V (Å³ per cell) = 132.3
- formation enthalpy at 0 K (eV/atom) = 1.3569

a = 5.096 Å, b = 5.096 Å, c = 5.096 Å
α = 90.00°, β = 90.00°, γ = 90.00°
Space group Pm-3m (No. 221)
Asymmetric unit:
Hf (0.000, 0.000, 0.000) [1 per cell]
Cd (0.000, 0.500, 0.500) [3 per cell]
Mo (0.500, 0.500, 0.500) [1 per cell]